DFT (meta-GGA SCAN) results for a crystal of BeAs3C relaxed with PBEsol.

The calculation puts the formation energy at 1712 meV/atom.

The structure belongs to space group Pm-3m (No. 221); the cell edges are 4.319, 4.319 and 4.319 Å and the angles 90.00°, 90.00° and 90.00°. The inequivalent atoms are Be at (0.000, 0.000, 0.000), As at (0.000, 0.000, 0.500) and C at (0.500, 0.500, 0.500).

---

DFT (meta-GGA SCAN) results for a crystal of BeAsPd2C relaxed with PBEsol.

The calculation puts the formation energy at 1260 meV/atom.

The structure belongs to space group P4/mmm (No. 123); the cell edges are 4.642, 4.642 and 3.742 Å and the angles 90.00°, 90.00° and 90.00°. The inequivalent atoms are Be at (0.000, 0.000, 0.000), As at (0.500, 0.500, 0.500), Pd at (0.000, 0.500, 0.500) and C at (0.500, 0.500, 0.000).

---

DFT (meta-GGA SCAN) results for a crystal of BeAsCSe2 relaxed with PBEsol.

The uncorrected formation energy is 0.97 eV/atom.

The structure belongs to space group P4/mmm (No. 123); the cell edges are 4.752, 4.752 and 3.365 Å and the angles 90.00°, 90.00° and 90.00°. The inequivalent atoms are Be at (0.000, 0.000, 0.000), As at (0.500, 0.500, 0.500), C at (0.000, 0.000, 0.500) and Se at (0.000, 0.500, 0.000).

---

DFT (meta-GGA SCAN) results for a crystal of Ca2BeAs relaxed with PBEsol.

For the energy above the most stable polymorph in this dataset, the calculation gives 25 meV/atom. The calculation puts the formation energy at -126 meV/atom.

The structure belongs to space group P4mm (No. 99); the cell edges are 4.205, 4.205 and 5.852 Å and the angles 90.00°, 90.00° and 90.00°. The inequivalent atoms are Ca at (0.000, 0.000, 0.000), Ca at (0.500, 0.500, 0.490), Be at (0.500, 0.500, 0.989) and As at (0.000, 0.000, 0.501).

---

DFT (meta-GGA SCAN) results for a crystal of CaBeAs relaxed with PBEsol.

The calculation puts the formation energy at -781 meV/atom.

The structure belongs to space group P-6m2 (No. 187); the cell edges are 3.8443, 3.8443 and 4.2341 Å and the angles 90.00°, 90.00° and 120.00°. The inequivalent atoms are Ca at (0.0000, 0.0000, 0.0000), Be at (0.3333, 0.6667, 0.5000) and As at (0.6667, 0.3333, 0.5000).

---

DFT (meta-GGA SCAN) results for a crystal of CaBe3As relaxed with PBEsol.

The calculation puts the formation energy at 623 meV/atom.

The structure belongs to space group Pm-3m (No. 221); the cell edges are 4.427, 4.427 and 4.427 Å and the angles 90.00°, 90.00° and 90.00°. The inequivalent atoms are Ca at (0.000, 0.000, 0.000), Be at (0.000, 0.500, 0.500) and As at (0.500, 0.500, 0.500).